(1)
Here is a relaxed KCo2Te3 crystal from the Open Quantum Materials Database. Energies are from PBE-GGA.

It has space group P2_1/m (No. 11), with a = 8.7701 Å, b = 3.8492 Å, c = 9.9294 Å, α = 90.00°, β = 114.53° and γ = 90.00°. The inequivalent atoms are K at (0.0229, 0.2500, 0.2761), Co at (0.4744, 0.2500, 0.1625), Co at (0.4854, 0.7500, 0.4018), Te at (0.2678, 0.7500, 0.1448), Te at (0.3226, 0.7500, 0.5591) and Te at (0.3480, 0.2500, 0.8759).

For the total energy, the calculation gives -4.4202 eV/atom. The mass density comes out at 5.88 g cm⁻³.



(2)
Here is a relaxed Hf3IrC crystal from the Open Quantum Materials Database. Energies are from PBE-GGA.

It has space group Cmcm (No. 63), with a = 3.2865 Å, b = 11.6628 Å, c = 8.8083 Å, α = 90.00°, β = 90.00° and γ = 90.00°. The inequivalent atoms are Hf at (0.0000, 0.0559, 0.2500), Hf at (0.0000, 0.3697, 0.0563), Ir at (0.0000, 0.2552, 0.7500) and C at (0.0000, 0.0000, 0.0000).

For the total energy, the calculation gives -10.4043 eV/atom. The mass density comes out at 14.55 g cm⁻³.